# SrMn2O

An optimized crystal structure of SrMn2O (PBE+U, Alexandria).

Values from the calculation:
Calculated total energy in eV/cell: -93.0

a b c (Å): 6.6364 6.6364 9.3673
angles (deg): 90.00 90.00 90.00
With the nearest neighbours (Å) after each atom.
Space group I4_1/amd (No. 141, origin choice 2)
One atom of each set of equivalent atoms:
Sr1 0.0000 0.2500 0.3750 [4 per cell]  12 Mn 3.88-3.89, 4 O 4.06, 4 Sr 4.06
Mn1 0.0000 0.0000 0.0000 [8 per cell]  2 O 2.03
O1 0.0000 0.2500 0.8750 [4 per cell]  4 Mn 2.03